1:
CsCo3N after structural relaxation. Source: Alexandria, functional PBE-GGA.

The total magnetic moment comes out at 5.00 μB per formula unit. The mass density comes out at 7.573 g/cm3. For the calculated volume, the calculation gives 14.2 A^3/atom.

```
data_CsCo3N
_cell_length_a 4.140
_cell_length_b 4.140
_cell_length_c 4.140
_cell_angle_alpha 90.00
_cell_angle_beta 90.00
_cell_angle_gamma 90.00
_symmetry_space_group_name_H-M 'P m -3 m'
_symmetry_Int_Tables_number 221
_symmetry_space_group_name_Hall '-P 4 2 3'
loop_
_atom_site_label
_atom_site_type_symbol
_atom_site_fract_x
_atom_site_fract_y
_atom_site_fract_z
Cs1 Cs 0.000 0.000 0.000
Co1 Co 0.000 0.500 0.500
N1 N 0.500 0.500 0.500
```


2:
CsCo3N after structural relaxation. Source: Alexandria, functional PBE-GGA.

The total magnetic moment comes out at 5.06 μB per formula unit. The mass density comes out at 5.067 g/cm3. For the calculated volume, the calculation gives 21.2 A^3/atom.

```
data_CsCo3N
_cell_length_a 4.734
_cell_length_b 4.734
_cell_length_c 4.734
_cell_angle_alpha 90.00
_cell_angle_beta 90.00
_cell_angle_gamma 90.00
_symmetry_space_group_name_H-M 'P m -3 m'
_symmetry_Int_Tables_number 221
_symmetry_space_group_name_Hall '-P 4 2 3'
loop_
_atom_site_label
_atom_site_type_symbol
_atom_site_fract_x
_atom_site_fract_y
_atom_site_fract_z
Cs1 Cs 0.000 0.000 0.000
Co1 Co 0.000 0.000 0.500
N1 N 0.500 0.500 0.500
```


Which one is most stable, and which one is least stable? 1 is the most stable of them, while 2 is the least stable.


1:
CsCoSeN2 after structural relaxation. Source: Alexandria, functional PBE-GGA.

The total magnetic moment comes out at 0.32 μB per formula unit. The mass density comes out at 5.866 g/cm3. For the calculated volume, the calculation gives 16.9 A^3/atom.

```
data_CsCoSeN2
_cell_length_a 4.087
_cell_length_b 4.087
_cell_length_c 5.064
_cell_angle_alpha 90.00
_cell_angle_beta 90.00
_cell_angle_gamma 90.00
_symmetry_space_group_name_H-M 'P 4/m m m'
_symmetry_Int_Tables_number 123
_symmetry_space_group_name_Hall '-P 4 2'
loop_
_atom_site_label
_atom_site_type_symbol
_atom_site_fract_x
_atom_site_fract_y
_atom_site_fract_z
Cs1 Cs 0.000 0.000 0.000
Co1 Co 0.500 0.500 0.500
Se1 Se 0.500 0.500 0.000
N1 N 0.000 0.500 0.500
```


2:
CsCoSeN2 after structural relaxation. Source: Alexandria, functional PBE-GGA.

The total magnetic moment comes out at 5.00 μB per formula unit. The mass density comes out at 3.674 g/cm3. For the calculated volume, the calculation gives 27.0 A^3/atom.

```
data_CsCoSeN2
_cell_length_a 4.332
_cell_length_b 4.332
_cell_length_c 7.195
_cell_angle_alpha 90.00
_cell_angle_beta 90.00
_cell_angle_gamma 90.00
_symmetry_space_group_name_H-M 'P 4/m m m'
_symmetry_Int_Tables_number 123
_symmetry_space_group_name_Hall '-P 4 2'
loop_
_atom_site_label
_atom_site_type_symbol
_atom_site_fract_x
_atom_site_fract_y
_atom_site_fract_z
Cs1 Cs 0.000 0.000 0.000
Co1 Co 0.500 0.500 0.500
Se1 Se 0.000 0.000 0.500
N1 N 0.000 0.500 0.000
```


Which one is most stable, and which one is least stable? 1 is the most stable of them, while 2 is the least stable.